Record 1
Here is LiGe3Se4 after structural relaxation from Alexandria. Energies are from GGA-PBE.

Summary:
* uncorrected energy: -4.119 eV/atom
* total magnetization: 0.0 μB per formula unit
* Fermi-level density of states: 0.3304 states/eV/atom

a b c (Å): 6.9184 3.8815 7.0032
angles (deg): 90.00 111.43 90.00
Last column: nearest neighbours and their distance in Å.
Space group Pm (No. 6)
Symmetry-distinct sites (fractional):
Li1 0.0000 0.0000 0.0000 (multiplicity 1)  5 Se 2.70-2.75
Ge1 0.0076 0.5000 0.4873 (multiplicity 1)  5 Se 2.53-2.80
Ge2 0.4945 0.0000 0.5067 (multiplicity 1)  6 Se 2.75-2.98
Ge3 0.5018 0.5000 0.9799 (multiplicity 1)  3 Se 2.52-2.72
Se1 0.2253 0.5000 0.2658 (multiplicity 1)  3 Ge 2.53-2.79, 2 Li 2.75
Se2 0.2358 0.0000 0.7668 (multiplicity 1)  1 Li 2.70, 5 Ge 2.72-2.98
Se3 0.7351 0.0000 0.2694 (multiplicity 1)  5 Ge 2.75-2.84, 1 Li 3.07
Se4 0.7363 0.5000 0.7756 (multiplicity 1)  3 Ge 2.52-2.79, 2 Li 2.73

---

Record 2
Here is TcAsCl2 after structural relaxation from Alexandria. Energies are from GGA-PBE.

Summary:
* uncorrected energy: -4.694 eV/atom
* total magnetization: 0.0 μB per formula unit
* Fermi-level density of states: 0.1792 states/eV/atom

a b c (Å): 8.7570 8.7570 4.7396
angles (deg): 90.00 90.00 90.00
Last column: nearest neighbours and their distance in Å.
Space group I-42d (No. 122)
Symmetry-distinct sites (fractional):
Tc1 0.0000 0.0000 0.0000 (multiplicity 4)  2 As 2.37, 4 Cl 2.47
As1 0.0000 0.0000 0.5000 (multiplicity 4)  2 Tc 2.37
Cl1 0.1113 0.2500 0.1250 (multiplicity 8)  2 Tc 2.47

---

Q: The lowest uncorrected energy belongs to which entry?
A: TcAsCl2